Computed, not measured: a geometry-optimized ZrSc2Ag structure at the PBEsol level of DFT.

```
4
Lattice="-2.105 2.105 4.632 2.105 -2.105 4.632 2.105 2.105 -4.632" Properties=species:S:1:pos:R:3 pbc="T T T"
Zr 0.000 0.000 0.000
Sc 2.105 0.000 2.316
Sc 0.000 0.000 4.632
Ag 0.000 2.105 2.316
```

## Properties
Energy of formation: 0.01 eV/atom
Mass density: 5.85 g/cm3
Magnetic moment: 0.00 μB per cell
Space-group type: I-4m2, No. 119


Computed, not measured: a geometry-optimized Zr2ScAg structure at the PBEsol level of DFT.

```
4
Lattice="5.349 -1.570 0.000 5.349 1.570 0.000 -2.216 0.000 4.930" Properties=species:S:1:pos:R:3 pbc="T T T"
Zr 0.000 0.000 0.000
Zr 0.641 0.000 4.216
Sc 7.468 0.000 1.876
Ag 4.414 0.000 2.313
```

## Properties
Energy of formation: -0.06 eV/atom
Mass density: 6.72 g/cm3
Magnetic moment: 0.00 μB per cell
Space-group type: Cm, No. 8


Computed, not measured: a geometry-optimized ZrSc2Ag structure at the PBEsol level of DFT.

```
4
Lattice="3.197 0.000 0.000 0.000 3.197 0.000 0.000 0.000 8.153" Properties=species:S:1:pos:R:3 pbc="T T T"
Zr 0.000 0.000 0.000
Sc 1.599 1.599 2.186
Sc 1.599 1.599 5.967
Ag 0.000 0.000 4.076
```

## Properties
Energy of formation: -0.16 eV/atom
Mass density: 5.76 g/cm3
Magnetic moment: 0.00 μB per cell
Space-group type: P4/mmm, No. 123


Offset from the most stable computed form readings, ordered: 165, 51, 0 meV per atom